Version a
Below is a relaxed structure of ZnBiPO, with properties calculated at the GGA-PBE level.

Cell: 9.4134 18.0388 3.6867 Å, 90.00 90.00 90.00°
Sites, in units of the cell vectors:
Zn  0.4018  0.6195  0.5000
Bi  0.7366  0.5986  0.0000
P  0.7130  0.4975  0.5000
O  0.5000  0.9053  0.0000
P  0.2768  0.2213  0.5000
O  0.4968  0.6358  0.0000
O  0.0000  0.4053  0.0000
P  0.2130  0.0025  0.5000
Bi  0.7634  0.0986  0.0000
Bi  0.2366  0.9014  0.0000
Zn  0.9018  0.8805  0.5000
Zn  0.0811  0.5736  0.5000
O  0.9968  0.8642  0.0000
Bi  0.9755  0.2728  0.0000
Zn  0.0982  0.1195  0.5000
P  0.7232  0.7787  0.5000
Zn  0.9189  0.4264  0.5000
P  0.7768  0.2787  0.5000
O  0.5032  0.3642  0.0000
O  0.0032  0.1358  0.0000
P  0.7870  0.9975  0.5000
Zn  0.5982  0.3805  0.5000
Bi  0.5245  0.7728  0.0000
O  0.5000  0.0947  0.0000
Zn  0.4189  0.0736  0.5000
Zn  0.5811  0.9264  0.5000
Bi  0.0245  0.7272  0.0000
O  0.0000  0.5947  0.0000
Bi  0.2633  0.4014  0.0000
P  0.2232  0.7213  0.5000
P  0.2870  0.5025  0.5000
Bi  0.4755  0.2272  0.0000

Properties
- space group = Pbam, No. 55

Version b
Below is a relaxed structure of ZnBiPO, with properties calculated at the GGA-PBE level.

Cell: 4.3774 6.1811 5.8638 Å, 90.00 90.00 90.00°
Sites, in units of the cell vectors:
P  0.0000  0.2835  0.4171
P  0.0000  0.7165  0.9171
Zn  0.5000  0.8524  0.0178
Bi  0.0000  0.2735  0.9470
Bi  0.0000  0.7265  0.4470
O  0.5000  0.1525  0.8721
Zn  0.5000  0.1476  0.5178
O  0.5000  0.8475  0.3721

Properties
- space group = Pmc2_1, No. 26

Of them, the most stable is version b and the least stable is version a.

Version a
Below is a relaxed structure of TbBiPb2O6, with properties calculated at the GGA-PBE level.

Cell: 5.2287 5.4419 5.8611 Å, 95.26 92.43 104.51°
Sites, in units of the cell vectors:
Tb  0.0000  0.0000  0.0000
Pb  0.7040  0.2916  0.5479
O  0.2428  0.7349  0.0499
O  0.2978  0.3009  0.2672
O  0.7572  0.2651  0.9501
Bi  0.5000  0.5000  0.0000
O  0.2644  0.2348  0.7370
Pb  0.2960  0.7084  0.4521
O  0.7022  0.6991  0.7328
O  0.7356  0.7652  0.2630

Properties
- space group = P-1, No. 2
- total moment (μB/cell) = 0.00

Version b
Below is a relaxed structure of TbBiPb2O6, with properties calculated at the GGA-PBE level.

Cell: 6.0176 6.0176 6.0176 Å, 120.82 120.82 88.58°
Sites, in units of the cell vectors:
O  0.1920  0.6749  0.8669
Pb  0.7500  0.2500  0.5000
O  0.3251  0.1920  0.5171
O  0.2567  0.2567  0.0000
Tb  0.0000  0.0000  0.0000
Bi  0.5000  0.5000  0.0000
O  0.8080  0.3251  0.1331
Pb  0.2500  0.7500  0.5000
O  0.7433  0.7433  0.0000
O  0.6749  0.8080  0.4829

Properties
- space group = I4/m, No. 87
- total moment (μB/cell) = 0.00

Of them, the most stable is version b and the least stable is version a.